Below is a geometry-optimized Pm7SmSn5 structure, with properties calculated at the PBE-GGA level.

Calculated values
Formation energy, meV per atom: -476
Final energy, eV per cell: -64.18

a b c (Å): 6.5608 8.4669 8.4669
angles (deg): 82.68 67.20 67.20
With the nearest neighbours (Å) after each atom.
Atoms (fractional coordinates):
Sn 0.5319 0.4649 0.9943  3 Sn 3.13-3.43, 6 Pm 3.14-3.42, 1 Sm 3.49
Sn 0.0088 0.4649 0.9943  3 Sn 3.13-3.43, 6 Pm 3.14-3.42, 1 Sm 3.49
Pm 0.0147 0.3159 0.6547  5 Sn 3.26-3.35, 1 Pm 3.36
Pm 0.2693 0.2307 0.2307  4 Sn 3.14, 4 Pm 3.36-3.37
Sm 0.9249 0.0751 0.0751  6 Pm 3.47-3.83, 4 Sn 3.49
Sn 0.5319 0.9943 0.4649  3 Sn 3.13-3.43, 6 Pm 3.14-3.42, 1 Sm 3.49
Sn 0.7716 0.7284 0.7284  6 Pm 3.26-3.28, 4 Sn 3.35
Pm 0.2638 0.7362 0.7362  6 Sn 3.28-3.42
Pm 0.6062 0.3938 0.3938  1 Sm 3.47, 4 Sn 3.55, 5 Pm 3.73-3.82
Sn 0.0088 0.9943 0.4649  3 Sn 3.13-3.43, 6 Pm 3.14-3.42, 1 Sm 3.49
Pm 0.5265 0.8065 0.1404  5 Sn 3.26-3.36, 1 Pm 3.37
Pm 0.5265 0.1404 0.8065  5 Sn 3.26-3.36, 1 Pm 3.37
Pm 0.0147 0.6547 0.3159  5 Sn 3.26-3.35, 1 Pm 3.36

Below is a geometry-optimized Sr2Cd2Hg7 structure, with properties calculated at the PBE-GGA level.

Calculated values
Formation energy, meV per atom: -271
Energy above the lowest structure with this stoichiometry, meV/atom: 0
Final energy, eV per cell: -10.28

a b c (Å): 5.7866 7.9087 7.9085
angles (deg): 82.04 113.62 113.61
With the nearest neighbours (Å) after each atom.
Atoms (fractional coordinates):
Hg 0.1822 0.9220 0.4207  3 Hg 3.07-3.12, 2 Cd 3.10-3.17, 3 Sr 3.35-3.42
Hg 0.6551 0.4064 0.4065  3 Hg 3.07-3.38, 3 Cd 3.08-3.31
Hg 0.1822 0.4208 0.9220  3 Hg 3.07-3.12, 2 Cd 3.10-3.17, 3 Sr 3.35-3.42
Sr 0.5000 0.7853 0.2147  10 Hg 3.35-3.65
Cd 0.0292 0.2715 0.2716  8 Hg 3.08-3.31
Cd 0.9708 0.7285 0.7284  8 Hg 3.08-3.31
Hg 0.0000 0.0000 0.0000  4 Hg 3.11-3.12, 2 Cd 3.15
Hg 0.8178 0.5792 0.0780  3 Hg 3.07-3.12, 2 Cd 3.10-3.17, 3 Sr 3.35-3.42
Hg 0.3449 0.5936 0.5935  3 Hg 3.07-3.38, 3 Cd 3.08-3.31
Sr 0.5000 0.2147 0.7853  10 Hg 3.35-3.65
Hg 0.8178 0.0780 0.5793  3 Hg 3.07-3.12, 2 Cd 3.10-3.17, 3 Sr 3.35-3.42

Below is a geometry-optimized PuMnNbFe structure, with properties calculated at the PBE-GGA level.

Calculated values
Formation energy, meV per atom: 151
Final energy, eV per cell: -41.43

a b c (Å): 4.4920 4.4920 4.4920
angles (deg): 60.00 60.00 60.00
With the nearest neighbours (Å) after each atom.
Atoms (fractional coordinates):
Nb 0.0000 0.0000 0.0000  4 Fe 2.75, 4 Mn 2.75
Fe 0.2500 0.2500 0.2500  4 Pu 2.75, 4 Nb 2.75
Mn 0.7500 0.7500 0.7500  4 Pu 2.75, 4 Nb 2.75
Pu 0.5000 0.5000 0.5000  4 Mn 2.75, 4 Fe 2.75